(1)
DFT (PBEsol) results for a geometry-optimized GePbO3 structure.

## Properties
The total energy comes out at -6.43 eV/atom. For the uncorrected formation energy, the calculation gives -1.49 eV per atom. The calculation puts the spin magnetization at 0.0 μB per formula unit. Its volume is 16.1 Å³/atom.

Unit cell a=7.240 b=11.432 c=12.686 alpha=113.37 beta=90.00 gamma=90.00
Element x y z (fractional)
1 Ge 0.406 0.030 0.885
2 Ge 0.594 0.970 0.115
3 Ge 0.406 0.470 0.615
4 Ge 0.831 0.712 0.960
5 Ge 0.877 0.891 0.348
6 Ge 0.169 0.212 0.460
7 Ge 0.123 0.109 0.652
8 Ge 0.169 0.288 0.040
9 Ge 0.594 0.530 0.385
10 Ge 0.877 0.609 0.152
11 Ge 0.831 0.788 0.540
12 Ge 0.123 0.391 0.848
13 Pb 0.382 0.586 0.154
14 Pb 0.691 0.208 0.405
15 Pb 0.309 0.792 0.595
16 Pb 0.618 0.086 0.654
17 Pb 0.618 0.414 0.846
18 Pb 0.955 0.947 0.827
19 Pb 0.045 0.053 0.173
20 Pb 0.691 0.292 0.095
21 Pb 0.382 0.914 0.346
22 Pb 0.955 0.553 0.673
23 Pb 0.045 0.447 0.327
24 Pb 0.309 0.708 0.905
25 O 0.283 0.607 0.705
26 O 0.936 0.061 0.711
27 O 0.283 0.893 0.795
28 O 0.794 0.626 0.445
29 O 0.695 0.000 0.395
30 O 0.695 0.500 0.105
31 O 0.375 0.368 0.090
32 O 0.305 0.500 0.895
33 O 0.583 0.092 0.834
34 O 0.625 0.632 0.910
35 O 0.583 0.408 0.666
36 O 0.974 0.722 0.853
37 O 0.026 0.278 0.147
38 O 0.794 0.874 0.055
39 O 0.970 0.853 0.461
40 O 0.417 0.592 0.334
41 O 0.305 0.000 0.605
42 O 0.375 0.132 0.410
43 O 0.206 0.126 0.945
44 O 0.206 0.374 0.555
45 O 0.765 0.750 0.250
46 O 0.970 0.647 0.039
47 O 0.026 0.222 0.353
48 O 0.936 0.439 0.789
49 O 0.717 0.107 0.205
50 O 0.500 0.500 0.500
51 O 0.235 0.250 0.750
52 O 0.974 0.778 0.647
53 O 0.417 0.908 0.166
54 O 0.064 0.561 0.211
55 O 0.625 0.868 0.590
56 O 0.030 0.353 0.961
57 O 0.030 0.147 0.539
58 O 0.500 0.000 0.000
59 O 0.064 0.939 0.289
60 O 0.717 0.393 0.295

***

(2)
DFT (PBEsol) results for a geometry-optimized Ge3Pb5O11 structure.

## Properties
The total energy comes out at -6.30 eV/atom. For the uncorrected formation energy, the calculation gives -1.43 eV per atom. The calculation puts the spin magnetization at 0.0 μB per formula unit. Its volume is 17.0 Å³/atom.

Unit cell a=10.228 b=10.228 c=10.675 alpha=90.00 beta=90.00 gamma=120.00
Element x y z (fractional)
1 Ge 0.393 0.022 0.852
2 Ge 0.978 0.371 0.852
3 Ge 0.383 0.391 0.494
4 Ge 0.629 0.607 0.852
5 Ge 0.609 0.992 0.494
6 Ge 0.388 0.008 0.157
7 Ge 0.992 0.380 0.157
8 Ge 0.008 0.617 0.494
9 Ge 0.620 0.612 0.157
10 Pb 0.261 0.006 0.482
11 Pb 0.253 0.259 0.180
12 Pb 0.333 0.667 0.674
13 Pb 0.003 0.728 0.818
14 Pb 0.725 0.997 0.818
15 Pb 0.741 0.994 0.180
16 Pb 0.746 0.739 0.482
17 Pb 0.667 0.333 0.003
18 Pb 0.667 0.333 0.336
19 Pb 0.994 0.254 0.482
20 Pb 0.667 0.333 0.663
21 Pb 0.333 0.667 0.000
22 Pb 0.006 0.747 0.180
23 Pb 0.272 0.275 0.818
24 Pb 0.333 0.667 0.328
25 O 0.171 0.493 0.838
26 O 0.767 0.679 0.267
27 O 0.809 0.516 0.497
28 O 0.912 0.233 0.267
29 O 0.319 0.093 0.741
30 O 0.484 0.292 0.497
31 O 0.875 0.470 0.847
32 O 0.322 0.829 0.838
33 O 0.071 0.765 0.383
34 O 0.907 0.226 0.741
35 O 0.285 0.811 0.164
36 O 0.189 0.474 0.164
37 O 0.530 0.406 0.847
38 O 0.416 0.914 0.457
39 O 0.586 0.092 0.168
40 O 0.506 0.414 0.168
41 O 0.288 0.381 0.634
42 O 0.708 0.191 0.497
43 O 0.717 0.645 0.007
44 O 0.908 0.494 0.168
45 O 0.619 0.907 0.634
46 O 0.498 0.584 0.457
47 O 0.694 0.929 0.383
48 O 0.928 0.283 0.007
49 O 0.526 0.715 0.164
50 O 0.086 0.502 0.457
51 O 0.774 0.681 0.741
52 O 0.355 0.072 0.007
53 O 0.594 0.125 0.847
54 O 0.507 0.678 0.838
55 O 0.235 0.306 0.383
56 O 0.321 0.088 0.267
57 O 0.093 0.712 0.634

***

(3)
DFT (PBEsol) results for a geometry-optimized Ge4PbO9 structure.

## Properties
The total energy comes out at -6.69 eV/atom. For the uncorrected formation energy, the calculation gives -1.61 eV per atom. The calculation puts the spin magnetization at 0.0 μB per formula unit. Its volume is 12.7 Å³/atom.

Unit cell a=4.679 b=6.802 c=6.802 alpha=114.56 beta=103.35 gamma=103.35
Element x y z (fractional)
1 Ge 0.500 0.514 0.486
2 Ge 0.320 0.514 0.932
3 Ge 0.000 0.692 0.308
4 Ge 0.680 0.068 0.486
5 Pb 0.000 0.003 0.997
6 O 0.397 0.906 0.542
7 O 0.603 0.458 0.094
8 O 0.159 0.715 0.077
9 O 0.131 0.443 0.286
10 O 0.841 0.923 0.285
11 O 0.869 0.714 0.557
12 O 0.488 0.624 0.772
13 O 0.000 0.245 0.755
14 O 0.512 0.228 0.376

***

(4)
DFT (PBEsol) results for a geometry-optimized GePb3O5 structure.

## Properties
The total energy comes out at -6.03 eV/atom. For the uncorrected formation energy, the calculation gives -1.23 eV per atom. The calculation puts the spin magnetization at 0.0 μB per formula unit. Its volume is 17.0 Å³/atom.

Unit cell a=5.296 b=5.296 c=5.444 alpha=90.00 beta=90.00 gamma=90.94
Element x y z (fractional)
1 Ge 0.000 0.000 0.483
2 Pb 0.500 0.500 0.454
3 Pb 0.500 0.000 0.979
4 Pb 0.000 0.500 0.979
5 O 0.812 0.188 0.289
6 O 0.807 0.807 0.673
7 O 0.193 0.193 0.673
8 O 0.188 0.812 0.289
9 O 0.500 0.500 0.030

***

(5)
DFT (PBEsol) results for a geometry-optimized Ge4PbO9 structure.

## Properties
The total energy comes out at -6.68 eV/atom. For the uncorrected formation energy, the calculation gives -1.61 eV per atom. The calculation puts the spin magnetization at 0.0 μB per formula unit. Its volume is 12.8 Å³/atom.

Unit cell a=4.793 b=11.361 c=11.361 alpha=120.00 beta=90.00 gamma=90.00
Element x y z (fractional)
1 Ge 0.602 0.850 0.341
2 Ge 0.602 0.492 0.150
3 Ge 0.602 0.659 0.508
4 Ge 0.398 0.341 0.850
5 Ge 0.398 0.150 0.492
6 Ge 0.398 0.508 0.659
7 Ge 0.500 0.821 0.821
8 Ge 0.500 0.000 0.179
9 Ge 0.500 0.179 0.000
10 Ge 0.112 0.667 0.333
11 Ge 0.888 0.333 0.667
12 Ge 0.000 0.000 0.000
13 Pb 0.000 0.326 0.326
14 Pb 0.000 0.000 0.674
15 Pb 0.000 0.674 0.000
16 O 0.239 0.904 0.058
17 O 0.239 0.154 0.096
18 O 0.239 0.942 0.846
19 O 0.761 0.058 0.904
20 O 0.761 0.096 0.154
21 O 0.761 0.846 0.942
22 O 0.710 0.892 0.216
23 O 0.710 0.324 0.108
24 O 0.710 0.784 0.676
25 O 0.290 0.216 0.892
26 O 0.290 0.108 0.324
27 O 0.290 0.676 0.784
28 O 0.333 0.737 0.247
29 O 0.333 0.510 0.263
30 O 0.333 0.753 0.490
31 O 0.667 0.247 0.737
32 O 0.667 0.263 0.510
33 O 0.667 0.490 0.753
34 O 0.881 0.820 0.424
35 O 0.881 0.603 0.180
36 O 0.881 0.576 0.397
37 O 0.119 0.424 0.820
38 O 0.119 0.180 0.603
39 O 0.119 0.397 0.576
40 O 0.500 0.510 0.510
41 O 0.500 0.000 0.490
42 O 0.500 0.490 0.000

***

(6)
DFT (PBEsol) results for a geometry-optimized Ge2Pb5SO12 structure.

## Properties
The total energy comes out at -6.29 eV/atom. For the uncorrected formation energy, the calculation gives -1.42 eV per atom. The calculation puts the spin magnetization at 0.0 μB per formula unit. Its volume is 16.1 Å³/atom.

Unit cell a=7.330 b=10.064 c=10.068 alpha=119.71 beta=90.00 gamma=90.00
Element x y z (fractional)
1 Ge 0.500 0.619 0.596
2 Ge 0.000 0.022 0.627
3 Ge 0.000 0.603 0.984
4 Ge 0.000 0.374 0.393
5 Pb 0.500 0.243 0.254
6 Pb 0.500 0.988 0.751
7 Pb 0.500 0.725 0.964
8 Pb 0.000 0.739 0.744
9 Pb 0.000 0.023 0.271
10 Pb 0.000 0.236 0.974
11 Pb 0.236 0.669 0.344
12 Pb 0.761 0.349 0.678
13 Pb 0.239 0.349 0.678
14 Pb 0.764 0.669 0.344
15 S 0.500 0.983 0.380
16 S 0.500 0.402 0.020
17 O 0.335 0.923 0.283
18 O 0.335 0.360 0.077
19 O 0.312 0.744 0.641
20 O 0.813 0.090 0.756
21 O 0.810 0.642 0.900
22 O 0.812 0.247 0.339
23 O 0.187 0.090 0.756
24 O 0.190 0.642 0.900
25 O 0.188 0.247 0.339
26 O 0.665 0.923 0.283
27 O 0.665 0.360 0.077
28 O 0.688 0.744 0.641
29 O 0.500 0.924 0.492
30 O 0.500 0.572 0.082
31 O 0.500 0.492 0.398
32 O 0.000 0.122 0.524
33 O 0.000 0.397 0.882
34 O 0.000 0.479 0.599
35 O 0.500 0.153 0.466
36 O 0.500 0.323 0.850
37 O 0.500 0.524 0.704
38 O 0.000 0.823 0.507
39 O 0.000 0.687 0.182
40 O 0.000 0.499 0.321

***

(7)
DFT (PBEsol) results for a geometry-optimized GePb2Se4O12 structure.

## Properties
The total energy comes out at -5.86 eV/atom. For the uncorrected formation energy, the calculation gives -1.06 eV per atom. The calculation puts the spin magnetization at 0.0 μB per formula unit. Its volume is 14.4 Å³/atom.

Unit cell a=6.579 b=8.978 c=9.314 alpha=96.39 beta=90.00 gamma=90.00
Element x y z (fractional)
1 Ge 0.000 0.000 0.500
2 Ge 0.500 0.000 0.000
3 Pb 0.767 0.463 0.597
4 Pb 0.267 0.537 0.903
5 Pb 0.233 0.537 0.403
6 Pb 0.733 0.463 0.097
7 Se 0.814 0.162 0.794
8 Se 0.314 0.838 0.706
9 Se 0.186 0.838 0.206
10 Se 0.686 0.162 0.294
11 Se 0.814 0.763 0.867
12 Se 0.314 0.237 0.633
13 Se 0.186 0.237 0.133
14 Se 0.686 0.763 0.367
15 O 0.619 0.029 0.821
16 O 0.119 0.971 0.679
17 O 0.381 0.971 0.179
18 O 0.881 0.029 0.321
19 O 0.804 0.132 0.604
20 O 0.304 0.868 0.896
21 O 0.196 0.868 0.396
22 O 0.696 0.132 0.104
23 O 0.684 0.326 0.815
24 O 0.184 0.674 0.685
25 O 0.316 0.674 0.185
26 O 0.816 0.326 0.315
27 O 0.631 0.657 0.773
28 O 0.131 0.343 0.727
29 O 0.369 0.343 0.227
30 O 0.869 0.657 0.273
31 O 0.938 0.626 0.950
32 O 0.438 0.374 0.550
33 O 0.062 0.374 0.050
34 O 0.562 0.626 0.450
35 O 0.671 0.833 0.019
36 O 0.171 0.167 0.481
37 O 0.329 0.167 0.981
38 O 0.829 0.833 0.519

***

(8)
DFT (PBEsol) results for a geometry-optimized V2GePb5O12 structure.

## Properties
The total energy comes out at -7.09 eV/atom. For the uncorrected formation energy, the calculation gives -1.73 eV per atom. The calculation puts the spin magnetization at 0.0 μB per formula unit. Its volume is 16.1 Å³/atom.

Unit cell a=7.337 b=10.002 c=10.086 alpha=119.58 beta=90.00 gamma=90.00
Element x y z (fractional)
1 V 0.500 0.020 0.395
2 V 0.000 0.626 0.021
3 V 0.000 0.395 0.379
4 V 0.000 0.984 0.606
5 Ge 0.500 0.378 0.984
6 Ge 0.500 0.599 0.618
7 Pb 0.261 0.662 0.335
8 Pb 0.749 0.345 0.677
9 Pb 0.251 0.345 0.677
10 Pb 0.739 0.662 0.335
11 Pb 0.500 0.019 0.759
12 Pb 0.500 0.743 0.976
13 Pb 0.500 0.253 0.253
14 Pb 0.000 0.001 0.249
15 Pb 0.000 0.247 0.991
16 Pb 0.000 0.747 0.750
17 O 0.500 0.487 0.184
18 O 0.500 0.685 0.503
19 O 0.500 0.823 0.318
20 O 0.000 0.522 0.823
21 O 0.000 0.299 0.481
22 O 0.000 0.183 0.706
23 O 0.500 0.491 0.892
24 O 0.500 0.394 0.506
25 O 0.500 0.112 0.595
26 O 0.000 0.505 0.098
27 O 0.000 0.594 0.495
28 O 0.000 0.908 0.410
29 O 0.312 0.252 0.907
30 O 0.311 0.646 0.742
31 O 0.316 0.082 0.338
32 O 0.816 0.744 0.087
33 O 0.815 0.348 0.262
34 O 0.816 0.914 0.655
35 O 0.184 0.744 0.087
36 O 0.185 0.348 0.262
37 O 0.184 0.914 0.655
38 O 0.688 0.252 0.907
39 O 0.689 0.646 0.742
40 O 0.684 0.082 0.338

***

(9)
DFT (PBEsol) results for a geometry-optimized Pr5Ge3O13 structure.

## Properties
The total energy comes out at -7.87 eV/atom. For the uncorrected formation energy, the calculation gives -2.68 eV per atom. The calculation puts the spin magnetization at 0.0 μB per formula unit. Its volume is 14.3 Å³/atom.

Unit cell a=7.229 b=9.788 c=9.788 alpha=120.00 beta=90.00 gamma=90.00
Element x y z (fractional)
1 Pr 0.499 0.333 0.667
2 Pr 0.501 0.667 0.333
3 Pr 0.999 0.667 0.333
4 Pr 0.001 0.333 0.667
5 Pr 0.250 0.768 0.759
6 Pr 0.750 0.232 0.241
7 Pr 0.250 0.992 0.232
8 Pr 0.750 0.008 0.768
9 Pr 0.250 0.241 0.008
10 Pr 0.750 0.759 0.992
11 Ge 0.250 0.602 0.972
12 Ge 0.750 0.398 0.028
13 Ge 0.250 0.370 0.398
14 Ge 0.750 0.630 0.602
15 Ge 0.250 0.028 0.630
16 Ge 0.750 0.972 0.370
17 O 0.250 0.821 0.510
18 O 0.750 0.179 0.490
19 O 0.250 0.689 0.179
20 O 0.750 0.311 0.821
21 O 0.250 0.490 0.311
22 O 0.750 0.510 0.689
23 O 0.446 0.651 0.895
24 O 0.554 0.349 0.105
25 O 0.446 0.244 0.349
26 O 0.946 0.349 0.105
27 O 0.554 0.756 0.651
28 O 0.054 0.651 0.895
29 O 0.446 0.105 0.756
30 O 0.946 0.756 0.651
31 O 0.554 0.895 0.244
32 O 0.054 0.244 0.349
33 O 0.946 0.895 0.244
34 O 0.054 0.105 0.756
35 O 0.250 0.000 0.000
36 O 0.750 0.000 0.000
37 O 0.250 0.392 0.868
38 O 0.750 0.608 0.132
39 O 0.250 0.476 0.608
40 O 0.750 0.524 0.392
41 O 0.250 0.132 0.524
42 O 0.750 0.868 0.476

***

(10)
DFT (PBEsol) results for a geometry-optimized YGePt2O structure.

## Properties
The total energy comes out at -6.82 eV/atom. For the uncorrected formation energy, the calculation gives -0.64 eV per atom. The calculation puts the spin magnetization at 0.0 μB per formula unit. Its volume is 17.5 Å³/atom.

Unit cell a=3.869 b=4.755 c=4.755 alpha=90.00 beta=90.00 gamma=90.00
Element x y z (fractional)
1 Y 0.500 0.500 0.500
2 Ge 0.000 0.000 0.000
3 O 0.500 0.000 0.000
4 Pt 0.000 0.000 0.500
5 Pt 0.000 0.500 0.000